[1]
# MnZnCo2 GGA-PBE relaxed
data_MnZnCo2
_chemical_formula_sum 'Mn4 Zn4 Co8'
_cell_length_a 5.800
_cell_length_b 5.800
_cell_length_c 5.800
_cell_angle_alpha 90.00
_cell_angle_beta 90.00
_cell_angle_gamma 90.00
_symmetry_space_group_name_H-M 'F -4 3 m'
_symmetry_Int_Tables_number 216
_symmetry_space_group_name_Hall 'F -4 2 3'
loop_
_atom_site_label
_atom_site_fract_x
_atom_site_fract_y
_atom_site_fract_z
Mn1 0.000 0.000 0.000
Zn1 0.250 0.250 0.750
Co1 0.000 0.000 0.500
Co2 0.250 0.250 0.250
# ΔH_f (0 K): 6 kJ per mole of atoms
# ρ: 8.1 Mg/m³
# DFT total energy: -6.10 eV per atom

=====

[2]
# K3PuU2S6 GGA-PBE relaxed
data_K3PuU2S6
_chemical_formula_sum 'K6 Pu2 U4 S12'
_cell_length_a 7.091
_cell_length_b 12.284
_cell_length_c 7.755
_cell_angle_alpha 90.00
_cell_angle_beta 107.76
_cell_angle_gamma 90.00
_symmetry_space_group_name_H-M 'C 1 2/m 1'
_symmetry_Int_Tables_number 12
loop_
_symmetry_equiv_pos_as_xyz
'x,y,z'
'-x,-y,-z'
'-x,y,-z'
'x,-y,z'
'x+1/2,y+1/2,z'
'-x+1/2,-y+1/2,-z'
'-x+1/2,y+1/2,-z'
'x+1/2,-y+1/2,z'
loop_
_atom_site_label
_atom_site_fract_x
_atom_site_fract_y
_atom_site_fract_z
K1 0.000 0.000 0.000
K2 0.000 0.335 0.000
Pu1 0.000 0.500 0.500
U1 0.000 0.167 0.500
S1 0.226 0.000 0.703
S2 0.238 0.329 0.703
# formation energy from raw total energies: -1.44 eV per atom
# ρ: 5.3 Mg/m³
# DFT total energy: -6.85 eV per atom

=====

[3]
# CrP2 GGA-PBE relaxed
data_CrP2
_chemical_formula_sum 'Cr4 P8'
_cell_length_a 5.643
_cell_length_b 5.643
_cell_length_c 5.643
_cell_angle_alpha 90.00
_cell_angle_beta 90.00
_cell_angle_gamma 90.00
_symmetry_space_group_name_H-M 'F m -3 m'
_symmetry_Int_Tables_number 225
_symmetry_space_group_name_Hall '-F 4 2 3'
loop_
_atom_site_label
_atom_site_fract_x
_atom_site_fract_y
_atom_site_fract_z
Cr1 0.000 0.000 0.000
P1 0.250 0.250 0.250
# ΔH_f (0 K): 2 kJ per mole of atoms
# ρ: 4.2 Mg/m³
# DFT total energy: -6.80 eV per atom

=====

[4]
# Dy4N GGA-PBE relaxed
data_Dy4N
_chemical_formula_sum 'Dy4 N1'
_cell_length_a 4.959
_cell_length_b 4.959
_cell_length_c 4.959
_cell_angle_alpha 90.00
_cell_angle_beta 90.00
_cell_angle_gamma 90.00
_symmetry_space_group_name_H-M 'P m -3 m'
_symmetry_Int_Tables_number 221
_symmetry_space_group_name_Hall '-P 4 2 3'
loop_
_atom_site_label
_atom_site_fract_x
_atom_site_fract_y
_atom_site_fract_z
Dy1 0.000 0.000 0.000
Dy2 0.000 0.500 0.500
N1 0.500 0.500 0.500
# formation energy from raw total energies: -0.52 eV per atom
# ρ: 9.0 Mg/m³
# DFT total energy: -5.87 eV per atom

=====

[5]
# VCrH2 GGA-PBE relaxed
data_VCrH2
_chemical_formula_sum 'V3 Cr3 H6'
_cell_length_a 2.7105
_cell_length_b 2.7105
_cell_length_c 13.9936
_cell_angle_alpha 90.00
_cell_angle_beta 90.00
_cell_angle_gamma 120.00
_symmetry_space_group_name_H-M 'R 3 m'
_symmetry_Int_Tables_number 160
_symmetry_space_group_name_Hall 'R 3 -2"'
loop_
_atom_site_label
_atom_site_fract_x
_atom_site_fract_y
_atom_site_fract_z
V1 0.0000 0.0000 0.0000
Cr1 0.0000 0.0000 0.1692
H1 0.0000 0.0000 0.5779
H2 0.0000 0.0000 0.7570
# ρ: 5.9 Mg/m³
# energy relative to the lowest polymorph listed for this composition: 213 meV per atom
# DFT total energy: -6.23 eV per atom

=====

[6]
# PrHo2Hg5 GGA-PBE relaxed
data_PrHo2Hg5
_chemical_formula_sum 'Pr2 Ho4 Hg10'
_cell_length_a 5.257
_cell_length_b 5.257
_cell_length_c 14.725
_cell_angle_alpha 90.00
_cell_angle_beta 90.00
_cell_angle_gamma 90.00
_symmetry_space_group_name_H-M 'I 4/m m m'
_symmetry_Int_Tables_number 139
_symmetry_space_group_name_Hall '-I 4 2'
loop_
_atom_site_label
_atom_site_fract_x
_atom_site_fract_y
_atom_site_fract_z
Pr1 0.000 0.000 0.000
Ho1 0.000 0.000 0.267
Hg1 0.000 0.000 0.500
Hg2 0.000 0.500 0.130
# ΔH_f (0 K): -43 kJ per mole of atoms
# ρ: 12.0 Mg/m³
# DFT total energy: -2.37 eV per atom

=====

[7]
# Cd2CoAg GGA-PBE relaxed
data_Cd2CoAg
_chemical_formula_sum 'Cd4 Co2 Ag2'
_cell_length_a 6.016
_cell_length_b 7.841
_cell_length_c 2.964
_cell_angle_alpha 90.00
_cell_angle_beta 90.45
_cell_angle_gamma 90.00
_symmetry_space_group_name_H-M 'C 1 2/m 1'
_symmetry_Int_Tables_number 12
loop_
_symmetry_equiv_pos_as_xyz
'x,y,z'
'-x,-y,-z'
'-x,y,-z'
'x,-y,z'
'x+1/2,y+1/2,z'
'-x+1/2,-y+1/2,-z'
'-x+1/2,y+1/2,-z'
'x+1/2,-y+1/2,z'
loop_
_atom_site_label
_atom_site_fract_x
_atom_site_fract_y
_atom_site_fract_z
Cd1 0.250 0.250 0.000
Co1 0.000 0.000 0.500
Ag1 0.000 0.500 0.500
# ΔH_f (0 K): 21 kJ per mole of atoms
# ρ: 9.3 Mg/m³
# DFT total energy: -2.73 eV per atom

=====

[8]
# Y2CdHg GGA-PBE relaxed
data_Y2CdHg
_chemical_formula_sum 'Y6 Cd3 Hg3'
_cell_length_a 3.7390
_cell_length_b 3.7390
_cell_length_c 28.1806
_cell_angle_alpha 90.00
_cell_angle_beta 90.00
_cell_angle_gamma 120.00
_symmetry_space_group_name_H-M 'R -3 m'
_symmetry_Int_Tables_number 166
_symmetry_space_group_name_Hall '-R 3 2"'
loop_
_atom_site_label
_atom_site_fract_x
_atom_site_fract_y
_atom_site_fract_z
Y1 0.0000 0.0000 0.2480
Cd1 0.0000 0.0000 0.0000
Hg1 0.0000 0.0000 0.5000
# ΔH_f (0 K): -27 kJ per mole of atoms
# ρ: 7.2 Mg/m³
# energy relative to the lowest polymorph listed for this composition: 153 meV per atom
# DFT total energy: -3.81 eV per atom

=====

[9]
# BaUFeS4 GGA-PBE relaxed
data_BaUFeS4
_chemical_formula_sum 'Ba2 U2 Fe2 S8'
_cell_length_a 6.400
_cell_length_b 6.148
_cell_length_c 8.581
_cell_angle_alpha 90.00
_cell_angle_beta 108.04
_cell_angle_gamma 90.00
_symmetry_space_group_name_H-M 'P 1 21/m 1'
_symmetry_Int_Tables_number 11
loop_
_symmetry_equiv_pos_as_xyz
'x,y,z'
'-x,-y,-z'
'-x,y+1/2,-z'
'x,-y+1/2,z'
loop_
_atom_site_label
_atom_site_fract_x
_atom_site_fract_y
_atom_site_fract_z
Ba1 0.245 0.250 0.440
U1 0.258 0.250 0.947
Fe1 0.263 0.750 0.170
S1 0.061 0.750 0.910
S2 0.072 0.750 0.348
S3 0.484 0.509 0.789
# formation energy from raw total energies: -1.26 eV per atom
# ρ: 5.8 Mg/m³
# DFT total energy: -6.71 eV per atom

=====

[10]
# DyMgCdCo GGA-PBE relaxed
data_DyMgCdCo
_chemical_formula_sum 'Dy4 Mg4 Cd4 Co4'
_cell_length_a 6.858
_cell_length_b 6.858
_cell_length_c 6.858
_cell_angle_alpha 90.00
_cell_angle_beta 90.00
_cell_angle_gamma 90.00
_symmetry_space_group_name_H-M 'F -4 3 m'
_symmetry_Int_Tables_number 216
_symmetry_space_group_name_Hall 'F -4 2 3'
loop_
_atom_site_label
_atom_site_fract_x
_atom_site_fract_y
_atom_site_fract_z
Dy1 0.000 0.000 0.000
Mg1 0.000 0.000 0.500
Cd1 0.250 0.250 0.750
Co1 0.250 0.250 0.250
# ΔH_f (0 K): -1 kJ per mole of atoms
# ρ: 7.4 Mg/m³
# DFT total energy: -3.57 eV per atom

=====

[11]
# YInPt2 GGA-PBE relaxed
data_YInPt2
_chemical_formula_sum 'Y1 In1 Pt2'
_cell_length_a 3.800
_cell_length_b 3.800
_cell_length_c 5.764
_cell_angle_alpha 90.00
_cell_angle_beta 90.00
_cell_angle_gamma 90.00
_symmetry_space_group_name_H-M 'P 4 m m'
_symmetry_Int_Tables_number 99
loop_
_symmetry_equiv_pos_as_xyz
'x,y,z'
'-y,x,z'
'-x,-y,z'
'y,-x,z'
'-x,y,z'
'y,x,z'
'x,-y,z'
'-y,-x,z'
loop_
_atom_site_label
_atom_site_fract_x
_atom_site_fract_y
_atom_site_fract_z
Y1 0.000 0.000 0.000
In1 0.500 0.500 0.347
Pt1 0.000 0.000 0.497
Pt2 0.500 0.500 0.826
# ΔH_f (0 K): -75 kJ per mole of atoms
# ρ: 11.8 Mg/m³
# DFT total energy: -6.10 eV per atom

=====

[12]
# La4InHg5 GGA-PBE relaxed
data_La4InHg5
_chemical_formula_sum 'La8 In2 Hg10'
_cell_length_a 16.752
_cell_length_b 5.313
_cell_length_c 6.661
_cell_angle_alpha 90.00
_cell_angle_beta 103.06
_cell_angle_gamma 90.00
_symmetry_space_group_name_H-M 'C 1 2/m 1'
_symmetry_Int_Tables_number 12
loop_
_symmetry_equiv_pos_as_xyz
'x,y,z'
'-x,-y,-z'
'-x,y,-z'
'x,-y,z'
'x+1/2,y+1/2,z'
'-x+1/2,-y+1/2,-z'
'-x+1/2,y+1/2,-z'
'x+1/2,-y+1/2,z'
loop_
_atom_site_label
_atom_site_fract_x
_atom_site_fract_y
_atom_site_fract_z
La1 0.096 0.000 0.309
La2 0.188 0.500 0.831
In1 0.000 0.500 0.500
Hg1 0.000 0.500 0.000
Hg2 0.095 0.000 0.817
Hg3 0.221 0.500 0.349
# ΔH_f (0 K): -48 kJ per mole of atoms
# ρ: 9.6 Mg/m³
# DFT total energy: -2.89 eV per atom